1.
ZrAlPd (PBE, optimized geometry); size of the total moment = 0.01 μB per cell; total DFT energy (no corrections) = -6.53 eV/atom
1.0
0.421 3.823 3.509
-2.396 -4.621 0.101
4.463 -2.271 1.939
Al Pd Zr
2 2 2
Direct
0.000 0.000 0.000
0.000 0.000 0.500
0.594 0.406 0.250
0.406 0.594 0.750
0.704 0.296 0.750
0.296 0.704 0.250

2.
ZrAl2Pd (PBE, optimized geometry); size of the total moment = 0.00 μB per cell; total DFT energy (no corrections) = -5.78 eV/atom
1.0
-2.413 -2.378 3.113
0.576 0.839 4.487
-3.334 2.073 2.400
Al Pd Zr
2 1 1
Direct
0.250 0.250 0.250
0.000 0.000 0.000
0.750 0.750 0.750
0.500 0.500 0.500

total DFT energy (no corrections) of number 2 (ZrAl2Pd)? -5.78 eV/atom